# 1
Computed, not measured: an optimized crystal structure of Er2MgAg3 at the GGA-PBE level of DFT.

Energy relative to the elements: -1.7 eV per formula unit
E above lowest polymorph: 11 meV/atom
Symmetry: P4/mmm (123)

Lattice parameters (Å, degrees): 3.5261 3.5261 10.5873 90.00 90.00 90.00
Sites, in units of the cell vectors:
Mg: 0.5000 0.5000 0.5000
Er: 0.5000 0.5000 0.1742
Ag: 0.0000 0.0000 0.6519
Er: 0.5000 0.5000 0.8258
Ag: 0.0000 0.0000 0.0000
Ag: 0.0000 0.0000 0.3481

=====

# 2
Computed, not measured: an optimized crystal structure of ErMgAg2 at the GGA-PBE level of DFT.

Energy relative to the elements: -0.8 eV per formula unit
Symmetry: P4/mmm (123)

Lattice parameters (Å, degrees): 3.3924 5.0187 5.0187 90.00 90.00 90.00
Sites, in units of the cell vectors:
Ag: 0.0000 0.0000 0.5000
Er: 0.5000 0.5000 0.5000
Ag: 0.0000 0.5000 0.0000
Mg: 0.5000 0.0000 0.0000

=====

# 3
Computed, not measured: an optimized crystal structure of ErMgMnAg at the GGA-PBE level of DFT.

Energy relative to the elements: 0.2 eV per formula unit
Symmetry: F-43m (216)

Lattice parameters (Å, degrees): 4.8889 4.8889 4.8889 60.00 60.00 60.00
Each line ends with the local moment (μB).
Sites, in units of the cell vectors:
Er: 0.0000 0.0000 0.0000  0.02
Mn: 0.7500 0.7500 0.7500  3.78
Ag: 0.2500 0.2500 0.2500  0.02
Mg: 0.5000 0.5000 0.5000  -0.01

=====

# 4
Computed, not measured: an optimized crystal structure of NaErMgAg at the GGA-PBE level of DFT.

Energy relative to the elements: 0.1 eV per formula unit
Symmetry: F-43m (216)

Lattice parameters (Å, degrees): 5.0791 5.0791 5.0791 60.00 60.00 60.00
Each line ends with the local moment (μB).
Sites, in units of the cell vectors:
Na: 0.7500 0.7500 0.7500  0.00
Er: 0.5000 0.5000 0.5000  0.07
Mg: 0.0000 0.0000 0.0000  0.01
Ag: 0.2500 0.2500 0.2500  0.01

=====

# 5
Computed, not measured: an optimized crystal structure of NdErMgAg at the GGA-PBE level of DFT.

Energy relative to the elements: -0.5 eV per formula unit
E above lowest polymorph: 46 meV/atom
Symmetry: F-43m (216)

Lattice parameters (Å, degrees): 5.3061 5.3061 5.3061 60.00 60.00 60.00
Sites, in units of the cell vectors:
Mg: 0.7500 0.7500 0.7500
Ag: 0.2500 0.2500 0.2500
Er: 0.0000 0.0000 0.0000
Nd: 0.5000 0.5000 0.5000

=====

# 6
Computed, not measured: an optimized crystal structure of NdErMg2Ag4 at the GGA-PBE level of DFT.

Energy relative to the elements: -2.3 eV per formula unit
Symmetry: R-3m (166)

Lattice parameters (Å, degrees): 4.9992 4.9992 8.6185 73.14 73.14 60.00
Sites, in units of the cell vectors:
Ag: 0.8711 0.8711 0.3867
Ag: 0.1289 0.1289 0.6133
Nd: 0.0000 0.0000 0.0000
Ag: 0.6217 0.6217 0.1350
Ag: 0.3783 0.3783 0.8650
Er: 0.5000 0.5000 0.5000
Mg: 0.7506 0.7506 0.7482
Mg: 0.2494 0.2494 0.2518

=====

One value per record, in order, for electronic total energy: -21.01, -12.68, -18.03, -10.20, -14.32, -26.22 eV for the cell shown.